Record 1
DFT (SCAN) results for a PBEsol-optimized structure of As2C.

Unit cell a=10.3732 b=10.3732 c=3.0105 alpha=90.00 beta=90.00 gamma=164.04
Fractional coordinates of all 6 atoms:
As: 0.0647 0.9353 0.7500
As: 0.1857 0.8143 0.2500
As: 0.8143 0.1857 0.7500
As: 0.9353 0.0647 0.2500
C: 0.3896 0.6104 0.7500
C: 0.6104 0.3896 0.2500

Excess energy over the best structure of this formula in the dataset (meV/atom): 103
Calculated formation energy (meV per atom): 1302
Crystal system: orthorhombic

***

Record 2
DFT (SCAN) results for a PBEsol-optimized structure of AsC.

Unit cell a=4.3471 b=4.3471 c=4.0950 alpha=90.00 beta=90.00 gamma=90.00
Fractional coordinates of all 6 atoms:
As: 0.0000 0.0000 0.0000
As: 0.0000 0.5000 0.5000
As: 0.5000 0.0000 0.5000
C: 0.0000 0.0000 0.5000
C: 0.0000 0.5000 0.0000
C: 0.5000 0.0000 0.0000

Excess energy over the best structure of this formula in the dataset (meV/atom): 1300
Calculated formation energy (meV per atom): 1822
Crystal system: tetragonal

***

Record 3
DFT (SCAN) results for a PBEsol-optimized structure of AsC4.

Unit cell a=5.1290 b=5.1290 c=5.1290 alpha=121.47 beta=121.47 gamma=87.48
Fractional coordinates of all 5 atoms:
As: 0.0000 0.0000 0.0000
C: 0.0000 0.3767 0.3767
C: 0.0000 0.6233 0.6233
C: 0.3767 0.0000 0.3767
C: 0.6233 0.0000 0.6233

Calculated formation energy (meV per atom): 1896
Crystal system: tetragonal

***

Record 4
DFT (SCAN) results for a PBEsol-optimized structure of AsC.

Unit cell a=5.6269 b=5.6269 c=3.0562 alpha=105.46 beta=105.46 gamma=31.51
Fractional coordinates of all 4 atoms:
As: 0.1417 0.1417 0.1446
As: 0.8583 0.8583 0.8554
C: 0.3372 0.3372 0.3362
C: 0.6628 0.6628 0.6638

Excess energy over the best structure of this formula in the dataset (meV/atom): 945
Calculated formation energy (meV per atom): 1467
Crystal system: monoclinic